SrReAg4: optimized geometry, GGA-PBE.

a = 7.9350 Å, b = 7.9350 Å, c = 7.9350 Å
α = 90.00°, β = 90.00°, γ = 90.00°
Last column: nearest neighbours and their distance in Å.
Space group F-43m (No. 216)
One atom of each set of equivalent atoms:
Sr 0.0000 0.0000 0.0000 [4 per cell]  12 Ag 3.29, 4 Re 3.44
Re 0.2500 0.2500 0.2500 [4 per cell]  12 Ag 3.29, 4 Sr 3.44
Ag 0.1245 0.1245 0.6245 [16 per cell]  6 Ag 2.79-2.82

Calculated values
- crystal system = cubic
- formation energy from the elements (eV/f.u.) = 3.410
- total magnetic moment (Bohr magnetons per cell) = 11.2
- density (g cm⁻³) = 9.38

YSbW2: optimized geometry, GGA-PBE.

a = 8.5881 Å, b = 3.3827 Å, c = 6.2885 Å
α = 90.00°, β = 101.05°, γ = 90.00°
Last column: nearest neighbours and their distance in Å.
Space group Cm (No. 8)
One atom of each set of equivalent atoms:
Y 0.0000 0.0000 0.0000 [2 per cell]  3 Sb 3.06-3.24, 5 W 3.15-3.36, 2 Y 3.38
Sb 0.2291 0.0000 0.6822 [2 per cell]  5 W 2.80-2.90, 1 Y 3.06
W 0.2541 0.5000 0.3160 [2 per cell]  3 W 2.60-2.67, 2 Sb 2.90
W 0.4799 0.0000 0.4554 [2 per cell]  3 W 2.60-2.67, 3 Sb 2.80-2.88

Calculated values
- E_form (uncorrected) (eV/atom) = 0.307
- crystal system = monoclinic
- total magnetic moment (Bohr magnetons per cell) = 0.0
- density (g cm⁻³) = 10.71

Number 1: uncorrected energy -3.687 eV/atom. Number 2: uncorrected energy -8.816 eV/atom.